No. 1
Here is Ho4Hg2Te5 after structural relaxation from Alexandria. Energies are from GGA-PBE.

POSCAR file:
```
Ho4Hg2Te5
1.0
-2.897 -3.062 0.657
5.060 -5.764 -4.557
4.131 1.514 11.423
Ho Hg Te
4 2 5
direct
0.626 0.627 0.253 Ho
0.000 0.760 0.001 Ho
0.374 0.373 0.747 Ho
0.000 0.240 0.999 Ho
0.762 0.759 0.525 Hg
0.238 0.241 0.475 Hg
0.133 0.871 0.266 Te
0.867 0.129 0.734 Te
0.132 0.395 0.264 Te
0.500 0.000 0.000 Te
0.868 0.605 0.736 Te
```

## Properties
The formation energy (no corrections) comes out at -79 kJ/mol of atoms.

***

No. 2
Here is SrSnC3 after structural relaxation from Alexandria. Energies are from GGA-PBE.

POSCAR file:
```
SrSnC3
1.0
4.681 0.000 0.000
0.000 4.681 0.000
0.000 0.000 4.681
Sr C Sn
1 3 1
direct
0.000 0.000 0.000 Sr
0.000 0.500 0.000 C
0.000 0.000 0.500 C
0.500 0.000 0.000 C
0.500 0.500 0.500 Sn
```

## Properties
For the energy of formation, the calculation gives 3.2340 eV/atom.

***

No. 3
Here is Pu2BiH3 after structural relaxation from Alexandria. Energies are from GGA-PBE.

POSCAR file:
```
Pu2BiH3
1.0
-2.428 2.238 -1.923
-6.675 0.075 4.718
-1.859 5.863 5.371
Pu Bi H
4 2 6
direct
0.499 0.192 0.811 Pu
0.501 0.808 0.189 Pu
0.853 0.648 0.646 Pu
0.147 0.352 0.354 Pu
0.837 0.160 0.166 Bi
0.163 0.840 0.834 Bi
0.378 0.484 0.761 H
0.999 0.354 0.647 H
0.620 0.242 0.518 H
0.380 0.758 0.482 H
0.001 0.646 0.353 H
0.622 0.516 0.239 H
```

## Properties
The total energy is -88.884 eV for the cell shown.

***

No. 4
Here is LaBe2Pt after structural relaxation from Alexandria. Energies are from GGA-PBE.

POSCAR file:
```
LaBe2Pt
1.0
4.702 -0.037 -0.036
-0.187 4.698 0.036
-1.589 -2.978 3.274
Be Pt La
2 1 1
direct
0.086 0.086 0.000 Be
0.414 0.414 0.000 Be
0.250 0.750 0.500 Pt
0.750 0.250 0.500 La
```

## Properties
For the energy of formation, the calculation gives -0.2422 eV/atom.

***

No. 5
Here is V2SbHPd after structural relaxation from Alexandria. Energies are from GGA-PBE.

POSCAR file:
```
V2SbHPd
1.0
3.868 0.000 0.000
0.000 3.868 0.000
0.000 0.000 4.337
Sb H Pd V
1 1 1 2
direct
0.500 0.500 0.500 Sb
0.000 0.000 0.000 H
0.000 0.000 0.500 Pd
0.000 0.500 0.000 V
0.500 0.000 0.000 V
```

## Properties
The total energy is -31.614 eV for the cell shown.

***

No. 6
Here is Tm3Ga3Os2 after structural relaxation from Alexandria. Energies are from GGA-PBE.

POSCAR file:
```
Tm3Ga3Os2
1.0
5.534 0.000 0.000
0.000 7.895 0.000
0.000 0.000 14.995
Tm Ga Os
12 12 8
direct
0.105 0.448 0.391 Tm
0.605 0.052 0.609 Tm
0.895 0.552 0.891 Tm
0.395 0.948 0.109 Tm
0.895 0.552 0.609 Tm
0.395 0.948 0.391 Tm
0.105 0.448 0.109 Tm
0.605 0.052 0.891 Tm
0.634 0.302 0.250 Tm
0.134 0.198 0.750 Tm
0.366 0.698 0.750 Tm
0.866 0.802 0.250 Tm
0.119 0.145 0.250 Ga
0.619 0.355 0.750 Ga
0.881 0.855 0.750 Ga
0.381 0.645 0.250 Ga
0.610 0.314 0.461 Ga
0.110 0.186 0.539 Ga
0.390 0.686 0.961 Ga
0.890 0.814 0.039 Ga
0.390 0.686 0.539 Ga
0.890 0.814 0.461 Ga
0.610 0.314 0.039 Ga
0.110 0.186 0.961 Ga
0.892 0.105 0.396 Os
0.392 0.395 0.604 Os
0.108 0.895 0.896 Os
0.608 0.605 0.104 Os
0.108 0.895 0.604 Os
0.608 0.605 0.396 Os
0.892 0.105 0.104 Os
0.392 0.395 0.896 Os
```

## Properties
For the energy of formation, the calculation gives -0.4733 eV/atom.

***

No. 7
Here is K3AgSn after structural relaxation from Alexandria. Energies are from GGA-PBE.

POSCAR file:
```
K3AgSn
1.0
6.299 0.000 0.000
0.000 6.299 0.000
0.000 0.000 6.299
K Sn Ag
3 1 1
direct
0.000 0.500 0.000 K
0.000 0.000 0.500 K
0.500 0.000 0.000 K
0.500 0.500 0.500 Sn
0.000 0.000 0.000 Ag
```

## Properties
For the energy of formation, the calculation gives 0.2226 eV/atom.

***

No. 8
Here is Cs2InBr5 after structural relaxation from Alexandria. Energies are from GGA-PBE.

POSCAR file:
```
Cs2InBr5
1.0
-0.713 -2.706 -7.320
-1.187 -5.139 5.796
-5.402 5.142 2.406
Cs In Br
2 1 5
direct
0.500 0.240 0.740 Cs
0.500 0.740 0.240 Cs
0.000 0.035 0.035 In
0.550 0.757 0.757 Br
0.000 0.757 0.207 Br
0.000 0.207 0.757 Br
0.450 0.207 0.207 Br
0.000 0.279 0.279 Br
```

## Properties
The formation energy (no corrections) comes out at -130 kJ/mol of atoms.

***

No. 9
Here is PAuF2 after structural relaxation from Alexandria. Energies are from GGA-PBE.

POSCAR file:
```
PAuF2
1.0
0.000 3.003 3.003
3.003 0.000 3.003
3.003 3.003 0.000
P Au F
1 1 2
direct
0.000 0.000 0.000 P
0.500 0.500 0.500 Au
0.250 0.250 0.250 F
0.750 0.750 0.750 F
```

## Properties
The formation energy (no corrections) comes out at -7 kJ/mol of atoms.

***

No. 10
Here is TeCl3 after structural relaxation from Alexandria. Energies are from GGA-PBE.

POSCAR file:
```
TeCl3
1.0
-0.195 3.634 2.239
2.498 -3.393 5.725
6.394 -1.367 2.775
Te Cl
1 3
direct
0.500 0.250 0.250 Te
0.000 0.125 0.126 Cl
0.500 0.750 0.750 Cl
0.000 0.375 0.374 Cl
```

## Properties
The formation energy (no corrections) comes out at -38 kJ/mol of atoms.

***

No. 11
Here is ThGa2Pd4 after structural relaxation from Alexandria. Energies are from GGA-PBE.

POSCAR file:
```
ThGa2Pd4
1.0
4.269 0.000 0.000
0.000 6.785 0.000
0.000 0.000 17.094
Pd Ga Th
16 8 4
direct
0.250 0.386 0.669 Pd
0.750 0.614 0.331 Pd
0.750 0.886 0.831 Pd
0.250 0.114 0.169 Pd
0.250 0.812 0.713 Pd
0.750 0.188 0.287 Pd
0.750 0.312 0.787 Pd
0.250 0.688 0.213 Pd
0.250 0.140 0.522 Pd
0.750 0.860 0.478 Pd
0.750 0.640 0.978 Pd
0.250 0.360 0.022 Pd
0.250 0.514 0.441 Pd
0.750 0.486 0.559 Pd
0.750 0.014 0.059 Pd
0.250 0.986 0.941 Pd
0.250 0.727 0.563 Ga
0.750 0.273 0.437 Ga
0.750 0.227 0.937 Ga
0.250 0.773 0.063 Ga
0.250 0.113 0.797 Ga
0.750 0.887 0.203 Ga
0.750 0.613 0.703 Ga
0.250 0.387 0.297 Ga
0.750 0.073 0.638 Th
0.250 0.927 0.362 Th
0.250 0.573 0.862 Th
0.750 0.427 0.138 Th
```

## Properties
For the energy of formation, the calculation gives -0.7620 eV/atom.

***

No. 12
Here is LiPuPbI6 after structural relaxation from Alexandria. Energies are from GGA-PBE.

POSCAR file:
```
LiPuPbI6
1.0
-0.995 6.232 4.530
-0.157 -7.121 3.101
14.031 0.646 2.194
Li Pu Pb I
2 2 2 12
direct
0.333 0.667 0.250 Li
0.667 0.333 0.750 Li
0.667 0.333 0.250 Pu
0.333 0.667 0.750 Pu
0.000 0.000 0.000 Pb
0.000 0.000 0.500 Pb
0.646 0.654 0.128 I
0.009 0.354 0.128 I
0.354 0.009 0.628 I
0.991 0.646 0.872 I
0.346 0.354 0.372 I
0.009 0.654 0.372 I
0.654 0.009 0.872 I
0.646 0.991 0.372 I
0.991 0.346 0.628 I
0.346 0.991 0.128 I
0.654 0.646 0.628 I
0.354 0.346 0.872 I
```

## Properties
The formation energy (no corrections) comes out at -88 kJ/mol of atoms.

***

No. 13
Here is LiCuCl3 after structural relaxation from Alexandria. Energies are from GGA-PBE.

POSCAR file:
```
LiCuCl3
1.0
-4.616 3.994 -4.024
-4.888 -1.562 4.057
3.716 5.706 1.400
Li Cu Cl
2 2 6
direct
0.667 0.556 0.113 Li
0.167 0.444 0.887 Li
0.802 0.897 0.795 Cu
0.302 0.103 0.205 Cu
0.909 0.745 0.994 Cl
0.909 0.249 0.994 Cl
0.644 0.751 0.503 Cl
0.409 0.751 0.006 Cl
0.409 0.255 0.006 Cl
0.144 0.249 0.497 Cl
```

## Properties
The formation energy (no corrections) comes out at -88 kJ/mol of atoms.

***

no.,V (A^3/atom)
1,38.733
2,20.514
3,16.816
4,18.130
5,12.981
6,20.475
7,49.992
8,44.372
9,13.540
10,37.267
11,17.681
12,41.276
13,29.342